## LiCeCoF6 (GGA+U)

Data for a geometry-optimized LiCeCoF6 structure.

Values from the calculation:
Density (g/cm3): 4.41
Calculated total energy (eV per atom): -5.677
Space-group type: P-31c
M_tot (μB/atom): 0.222

Lattice parameters (Å, degrees): 5.474 5.474 9.294 90.00 90.00 120.00
Site moments in Bohr magnetons follow the coordinates.
Fractional coordinates of all 18 atoms:
Li 0.000 0.000 0.000  0.00
Li 0.000 0.000 0.500  0.00
Ce 0.333 0.667 0.250  -0.59
Ce 0.667 0.333 0.750  -0.59
Co 0.667 0.333 0.250  2.46
Co 0.333 0.667 0.750  2.46
F 0.687 0.665 0.125  0.03
F 0.978 0.313 0.125  0.03
F 0.313 0.978 0.625  0.03
F 0.022 0.687 0.875  0.03
F 0.335 0.313 0.375  0.03
F 0.978 0.665 0.375  0.03
F 0.665 0.978 0.875  0.03
F 0.687 0.022 0.375  0.03
F 0.022 0.335 0.625  0.03
F 0.335 0.022 0.125  0.03
F 0.665 0.687 0.625  0.03
F 0.313 0.335 0.875  0.03